HfWF3: optimized geometry, GGA+U.

Lattice parameters (Å, degrees): 4.3216 4.3216 4.3216 90.00 90.00 90.00
Last column: nearest neighbours and their distance in Å.
Positions (direct):
F: 0.0000 0.5000 0.0000  2 Hf 2.16
F: 0.0000 0.0000 0.5000  2 Hf 2.16
F: 0.5000 0.0000 0.0000  2 Hf 2.16
W: 0.5000 0.5000 0.5000  12 F 3.06
Hf: 0.0000 0.0000 0.0000  6 F 2.16

Output
The calculated density is 8.63 g/cm3. For the volume, the calculation gives 16.142 Å³ per atom. The calculation puts the energy above the most stable polymorph in this dataset at 0 meV/atom. Its space group is No. 221.